--- A ---
Density functional theory data (PBE-GGA) for a geometry-optimized Cs2BeCu structure.

Calculated values
As for the space group: Fm-3m (225).

a b c (Å): 8.738 8.738 8.738
angles (deg): 90.00 90.00 90.00
Element x y z (fractional)
1 Cs 0.250 0.250 0.250
2 Cs 0.250 0.250 0.750
3 Cs 0.250 0.750 0.250
4 Cs 0.250 0.750 0.750
5 Cs 0.750 0.250 0.250
6 Cs 0.750 0.250 0.750
7 Cs 0.750 0.750 0.250
8 Cs 0.750 0.750 0.750
9 Be 0.000 0.000 0.000
10 Be 0.000 0.500 0.500
11 Be 0.500 0.000 0.500
12 Be 0.500 0.500 0.000
13 Cu 0.000 0.000 0.500
14 Cu 0.000 0.500 0.000
15 Cu 0.500 0.000 0.000
16 Cu 0.500 0.500 0.500

=====

--- B ---
Density functional theory data (PBE-GGA) for a geometry-optimized Cs2BeCu structure.

Calculated values
As for the space group: I-42d (122).

a b c (Å): 9.759 9.759 7.811
angles (deg): 90.00 90.00 90.00
Element x y z (fractional)
1 Cs 0.233 0.250 0.125
2 Cs 0.250 0.733 0.375
3 Cs 0.250 0.767 0.875
4 Cs 0.267 0.250 0.625
5 Cs 0.733 0.750 0.625
6 Cs 0.750 0.233 0.875
7 Cs 0.750 0.267 0.375
8 Cs 0.767 0.750 0.125
9 Be 0.000 0.000 0.500
10 Be 0.000 0.500 0.750
11 Be 0.500 0.000 0.250
12 Be 0.500 0.500 0.000
13 Cu 0.000 0.000 0.000
14 Cu 0.000 0.500 0.250
15 Cu 0.500 0.000 0.750
16 Cu 0.500 0.500 0.500

=====

Quick ranking, most stable first: A, B.

=====

--- A ---
Density functional theory data (PBE-GGA) for a geometry-optimized CsBeF3 structure.

Calculated values
As for the space group: Cmcm (63).

a b c (Å): 8.438 8.438 5.210
angles (deg): 90.00 90.00 96.81
Element x y z (fractional)
1 Cs 0.119 0.881 0.750
2 Cs 0.343 0.657 0.250
3 Cs 0.657 0.343 0.750
4 Cs 0.881 0.119 0.250
5 Be 0.198 0.346 0.750
6 Be 0.346 0.198 0.250
7 Be 0.654 0.802 0.750
8 Be 0.802 0.654 0.250
9 F 0.040 0.239 0.750
10 F 0.190 0.525 0.750
11 F 0.239 0.040 0.250
12 F 0.304 0.304 0.000
13 F 0.304 0.304 0.500
14 F 0.475 0.810 0.750
15 F 0.525 0.190 0.250
16 F 0.696 0.696 0.000
17 F 0.696 0.696 0.500
18 F 0.761 0.960 0.750
19 F 0.810 0.475 0.250
20 F 0.960 0.761 0.250

=====

--- B ---
Density functional theory data (PBE-GGA) for a geometry-optimized CsBeF3 structure.

Calculated values
As for the space group: Pm-3m (221).

a b c (Å): 4.032 4.032 4.032
angles (deg): 90.00 90.00 90.00
Element x y z (fractional)
1 Cs 0.000 0.000 0.000
2 Be 0.500 0.500 0.500
3 F 0.000 0.500 0.500
4 F 0.500 0.000 0.500
5 F 0.500 0.500 0.000

=====

Quick ranking, most stable first: A, B.

=====

--- A ---
Density functional theory data (PBE-GGA) for a geometry-optimized CsBeF2 structure.

Calculated values
As for the space group: Fd-3m (227).

a b c (Å): 5.941 5.941 5.941
angles (deg): 60.00 60.00 60.00
Element x y z (fractional)
1 Cs 0.125 0.125 0.125
2 Cs 0.875 0.875 0.875
3 Be 0.375 0.375 0.375
4 Be 0.625 0.625 0.625
5 F 0.000 0.500 0.500
6 F 0.500 0.000 0.500
7 F 0.500 0.500 0.000
8 F 0.500 0.500 0.500

=====

--- B ---
Density functional theory data (PBE-GGA) for a geometry-optimized CsBeF2 structure.

Calculated values
As for the space group: R-3m (166).

a b c (Å): 4.625 4.625 18.375
angles (deg): 90.00 90.00 120.00
Element x y z (fractional)
1 Cs 0.000 0.000 0.000
2 Cs 0.333 0.667 0.667
3 Cs 0.667 0.333 0.333
4 Be 0.000 0.000 0.500
5 Be 0.333 0.667 0.167
6 Be 0.667 0.333 0.833
7 F 0.000 0.000 0.421
8 F 0.000 0.000 0.579
9 F 0.333 0.667 0.088
10 F 0.333 0.667 0.246
11 F 0.667 0.333 0.754
12 F 0.667 0.333 0.912

=====

Quick ranking, most stable first: B, A.

=====

--- A ---
Density functional theory data (PBE-GGA) for a geometry-optimized CsBeNF2 structure.

Calculated values
As for the space group: P4/mmm (123).

a b c (Å): 5.315 5.315 4.993
angles (deg): 90.00 90.00 90.00
Element x y z (fractional)
1 Cs 0.000 0.000 0.000
2 Be 0.500 0.500 0.500
3 N 0.000 0.000 0.500
4 F 0.000 0.500 0.000
5 F 0.500 0.000 0.000

=====

--- B ---
Density functional theory data (PBE-GGA) for a geometry-optimized CsBeNF2 structure.

Calculated values
As for the space group: P4/mmm (123).

a b c (Å): 3.693 3.693 4.523
angles (deg): 90.00 90.00 90.00
Element x y z (fractional)
1 Cs 0.000 0.000 0.000
2 Be 0.500 0.500 0.500
3 N 0.500 0.500 0.000
4 F 0.000 0.500 0.500
5 F 0.500 0.000 0.500

=====

Quick ranking, most stable first: B, A.